Entry 1:
The following is a DFT calculation (PBE-GGA) of crystalline Be2CuPd3 at its relaxed geometry.

The calculation puts the uncorrected energy at -29.97 eV for the cell shown. The calculated density comes out at 9.12 Mg/m³. Its density of states at the Fermi level is 1.9 states/eV per cell.

It has space group P4/mmm (No. 123), with a = 2.8049 Å, b = 2.8049 Å, c = 9.2754 Å, α = 90.00°, β = 90.00° and γ = 90.00°. Symmetry generates all atoms from Be at (0.0000, 0.0000, 0.1598), Cu at (0.0000, 0.0000, 0.5000), Pd at (0.5000, 0.5000, 0.0000) and Pd at (0.5000, 0.5000, 0.3060).



Entry 2:
The following is a DFT calculation (PBE-GGA) of crystalline BeCuPd2 at its relaxed geometry.

The calculation puts the uncorrected energy at -19.52 eV for the cell shown. The calculated density comes out at 9.34 Mg/m³. Its density of states at the Fermi level is 0.9 states/eV per cell.

It has space group P4/mmm (No. 123), with a = 4.1524 Å, b = 4.1524 Å, c = 2.9420 Å, α = 90.00°, β = 90.00° and γ = 90.00°. Symmetry generates all atoms from Be at (0.0000, 0.0000, 0.0000), Cu at (0.5000, 0.5000, 0.0000) and Pd at (0.0000, 0.5000, 0.5000).



Entry 3:
The following is a DFT calculation (PBE-GGA) of crystalline Be4CuPd5 at its relaxed geometry.

The calculation puts the uncorrected energy at -50.17 eV for the cell shown. The calculated density comes out at 8.85 Mg/m³. Its density of states at the Fermi level is 3.3 states/eV per cell.

It has space group P4/mmm (No. 123), with a = 2.8077 Å, b = 2.8077 Å, c = 15.0317 Å, α = 90.00°, β = 90.00° and γ = 90.00°. Symmetry generates all atoms from Be at (0.0000, 0.0000, 0.0963), Be at (0.0000, 0.0000, 0.2904), Cu at (0.0000, 0.0000, 0.5000), Pd at (0.5000, 0.5000, 0.0000), Pd at (0.5000, 0.5000, 0.1901) and Pd at (0.5000, 0.5000, 0.3797).



Entry 4:
The following is a DFT calculation (PBE-GGA) of crystalline Be2Cu2Pd3 at its relaxed geometry.

The calculation puts the uncorrected energy at -65.34 eV for the cell shown. The calculated density comes out at 8.23 Mg/m³. Its density of states at the Fermi level is 3.6 states/eV per cell.

It has space group C2/m (No. 12), with a = 6.8624 Å, b = 3.9846 Å, c = 7.2413 Å, α = 90.00°, β = 108.85° and γ = 90.00°. Symmetry generates all atoms from Be at (0.1206, 0.0000, 0.3643), Cu at (0.1364, 0.5000, 0.9015), Pd at (0.0000, 0.5000, 0.5000) and Pd at (0.2432, 0.0000, 0.7266).



Entry 5:
The following is a DFT calculation (PBE-GGA) of crystalline Be2CuPd at its relaxed geometry.

The calculation puts the uncorrected energy at -51.32 eV for the cell shown. The calculated density comes out at 6.87 Mg/m³. Its density of states at the Fermi level is 4.5 states/eV per cell.

It has space group R3m (No. 160, hexagonal axes), with a = 2.6839 Å, b = 2.6839 Å, c = 21.8631 Å, α = 90.00°, β = 90.00° and γ = 120.00°. Symmetry generates all atoms from Be at (0.0000, 0.0000, 0.0000), Be at (0.0000, 0.0000, 0.1653), Cu at (0.0000, 0.0000, 0.4167) and Pd at (0.0000, 0.0000, 0.5823).



Entry 6:
The following is a DFT calculation (PBE-GGA) of crystalline Be6CuPd at its relaxed geometry.

The calculation puts the uncorrected energy at -32.28 eV for the cell shown. The calculated density comes out at 4.80 Mg/m³. Its density of states at the Fermi level is 3.5 states/eV per cell.

It has space group Pm-3 (No. 200), with a = 4.2629 Å, b = 4.2629 Å, c = 4.2629 Å, α = 90.00°, β = 90.00° and γ = 90.00°. Symmetry generates all atoms from Be at (0.0000, 0.2519, 0.5000), Cu at (0.5000, 0.5000, 0.5000) and Pd at (0.0000, 0.0000, 0.0000).



Entry 7:
The following is a DFT calculation (PBE-GGA) of crystalline Be2Cu2Pd at its relaxed geometry.

The calculation puts the uncorrected energy at -43.49 eV for the cell shown. The calculated density comes out at 7.65 Mg/m³. Its density of states at the Fermi level is 3.3 states/eV per cell. The value obtained for the energy above the most stable polymorph in this dataset is 0.000 eV/atom.

It has space group P4/mbm (No. 127), with a = 6.3700 Å, b = 6.3700 Å, c = 2.6904 Å, α = 90.00°, β = 90.00° and γ = 90.00°. Symmetry generates all atoms from Be at (0.1384, 0.3616, 0.0000), Cu at (0.1531, 0.6531, 0.5000) and Pd at (0.0000, 0.0000, 0.0000).



Entry 8:
The following is a DFT calculation (PBE-GGA) of crystalline Be3Cu2Pd at its relaxed geometry.

The calculation puts the uncorrected energy at -26.10 eV for the cell shown. The calculated density comes out at 6.96 Mg/m³. Its density of states at the Fermi level is 1.7 states/eV per cell.

It has space group P4/mmm (No. 123), with a = 2.7804 Å, b = 2.7804 Å, c = 8.0426 Å, α = 90.00°, β = 90.00° and γ = 90.00°. Symmetry generates all atoms from Be at (0.0000, 0.0000, 0.0000), Be at (0.0000, 0.0000, 0.3191), Cu at (0.5000, 0.5000, 0.1600) and Pd at (0.5000, 0.5000, 0.5000).



| no. | calculated formation energy (meV per atom) |
| --- | --- |
| 1 | -474 |
| 2 | -327 |
| 3 | -520 |
| 4 | -207 |
| 5 | -91 |
| 6 | -80 |
| 7 | -181 |
| 8 | -256 |